A relaxed structure of Sr2TaTc. Source: Alexandria via LeMat-Bulk, functional PBE-GGA. Values from VASP.

```
&SYSTEM
  ibrav = 0, nat = 4, ntyp = 3
/
ATOMIC_SPECIES
Sr 87.62 Sr.upf
Tc 98.00 Tc.upf
Ta 180.95 Ta.upf
ATOMIC_POSITIONS angstrom
Sr 17.023 3.055 0.339
Sr 11.543 2.072 1.529
Tc 4.896 0.879 0.952
Ta 14.687 2.636 2.857
CELL_PARAMETERS angstrom
9.690 -0.001 -0.018
9.085 3.371 -0.018
0.807 0.145 3.846
```

- Offset from the most stable computed form: 169 meV per atom
- Magnetization: 0.00 μB/cell

=====

A relaxed structure of AcTbIn2Hg2. Source: Alexandria via LeMat-Bulk, functional PBE-GGA. Values from VASP.

```
&SYSTEM
  ibrav = 0, nat = 6, ntyp = 4
/
ATOMIC_SPECIES
In 114.82 In.upf
Tb 158.93 Tb.upf
Ac 227.00 Ac.upf
Hg 200.59 Hg.upf
ATOMIC_POSITIONS angstrom
In 2.481 1.433 2.081
In 0.000 2.865 5.788
Tb 0.000 0.000 3.935
Ac 0.000 0.000 0.000
Hg 2.481 1.433 5.450
Hg 0.000 2.865 2.419
CELL_PARAMETERS angstrom
4.962 0.000 0.000
-2.481 4.298 0.000
0.000 0.000 7.869
```

- Raw total energy: -17.6 eV per formula unit
- Magnetization: 0.00 μB/cell

=====

A relaxed structure of K3TlCd. Source: Alexandria via LeMat-Bulk, functional PBE-GGA. Values from VASP.

```
&SYSTEM
  ibrav = 0, nat = 10, ntyp = 3
/
ATOMIC_SPECIES
Cd 112.41 Cd.upf
K 39.10 K.upf
Tl 204.38 Tl.upf
ATOMIC_POSITIONS angstrom
Cd 1.127 0.000 0.000
Cd 1.127 0.000 6.022
K 1.128 3.697 1.055
K 4.328 1.835 3.011
K 4.328 1.856 10.989
K 1.128 3.697 4.967
K 1.128 3.718 9.033
K 4.328 1.856 7.078
Tl 1.129 0.013 9.033
Tl -2.072 5.539 3.011
CELL_PARAMETERS angstrom
6.401 0.000 0.000
-3.201 5.553 0.000
0.000 0.000 12.044
```

- Offset from the most stable computed form: 0 meV per atom
- Magnetization: 0.00 μB/cell

=====

A relaxed structure of BaZnAgRu2. Source: Alexandria via LeMat-Bulk, functional PBE-GGA. Values from VASP.

```
&SYSTEM
  ibrav = 0, nat = 5, ntyp = 4
/
ATOMIC_SPECIES
Ag 107.87 Ag.upf
Ru 101.07 Ru.upf
Zn 65.41 Zn.upf
Ba 137.33 Ba.upf
ATOMIC_POSITIONS angstrom
Ag 0.000 0.000 0.000
Ru -1.598 1.445 1.372
Ru 1.370 -0.480 2.102
Zn -1.372 -1.945 0.450
Ba -1.600 -0.979 3.924
CELL_PARAMETERS angstrom
-3.196 2.891 2.744
-2.745 -3.889 0.900
2.740 -0.960 4.204
```

- Raw total energy: -19.1 eV per formula unit
- Magnetization: 3.43 μB/cell

=====

Question: Which formula does entry 1 have?
Answer: Sr2TaTc

=====

Question: magnetization of number 1 (Sr2TaTc)?
Answer: 0.00 μB/cell

=====

Question: What is the magnetization in the second record?
Answer: 0.00 μB/cell

=====

Question: Look up the magnetization of the fourth one.
Answer: 3.43 μB/cell